(1)
The following is a DFT calculation (PBE) of BaCrCd2 after structural relaxation.

a b c (Å): 3.6392 3.6392 8.1557
angles (deg): 90.00 90.00 90.00
Space group P4/mmm (No. 123)
One atom of each set of equivalent atoms:
1 Ba 0.0000 0.0000 0.0000 (multiplicity 1)
2 Cr 0.0000 0.0000 0.5000 (multiplicity 1)
3 Cd 0.5000 0.5000 0.3140 (multiplicity 2)

Calculated values
- crystal system = tetragonal
- DOS at the Fermi energy (states/eV per cell) = 2.28
- DFT formation energy (meV/atom) = 187.3

***

(2)
The following is a DFT calculation (PBE) of Ac2Ge4PtRh3 after structural relaxation.

a b c (Å): 4.3898 4.3898 10.3606
angles (deg): 90.00 90.00 90.00
Space group P-4m2 (No. 115)
One atom of each set of equivalent atoms:
1 Ac 0.0000 0.5000 0.2430 (multiplicity 2)
2 Ge 0.0000 0.0000 0.0000 (multiplicity 1)
3 Ge 0.0000 0.5000 0.6304 (multiplicity 2)
4 Ge 0.5000 0.5000 0.0000 (multiplicity 1)
5 Pt 0.0000 0.0000 0.5000 (multiplicity 1)
6 Rh 0.0000 0.5000 0.8750 (multiplicity 2)
7 Rh 0.5000 0.5000 0.5000 (multiplicity 1)

Calculated values
- crystal system = tetragonal
- DOS at the Fermi energy (states/eV per cell) = 8.81
- DFT formation energy (meV/atom) = -846.9

***

(3)
The following is a DFT calculation (PBE) of Ho5Zr3As8 after structural relaxation.

a b c (Å): 7.9891 7.9891 19.7024
angles (deg): 90.00 90.00 120.00
Space group R-3m (No. 166, hexagonal axes)
One atom of each set of equivalent atoms:
1 Ho 0.0000 0.0000 0.0000 (multiplicity 3)
2 Ho 0.0000 0.0000 0.5000 (multiplicity 3)
3 Ho 0.0000 0.5000 0.0000 (multiplicity 9)
4 Zr 0.0000 0.5000 0.5000 (multiplicity 9)
5 As 0.0000 0.0000 0.2460 (multiplicity 6)
6 As 0.0056 0.5028 0.7528 (multiplicity 18)

Calculated values
- crystal system = trigonal
- DOS at the Fermi energy (states/eV per cell) = 21.13
- DFT formation energy (meV/atom) = -1365.9